# 1
A relaxed structure of CuNi2Ge, computed with PBE.

a = 4.0634 Å, b = 4.0634 Å, c = 4.0634 Å
α = 60.00°, β = 60.00°, γ = 60.00°
Atoms (fractional coordinates):
Cu  0.0000  0.0000  0.0000
Ni  0.2500  0.2500  0.2500
Ni  0.5000  0.5000  0.5000
Ge  0.7500  0.7500  0.7500

***

# 2
A relaxed structure of Cu5NiGe2, computed with PBE.

a = 4.1519 Å, b = 4.1519 Å, c = 5.8727 Å
α = 90.00°, β = 90.00°, γ = 90.00°
Atoms (fractional coordinates):
Cu  0.0000  0.0000  0.0000
Cu  0.0000  0.5000  0.2504
Cu  0.0000  0.5000  0.7496
Cu  0.5000  0.0000  0.2504
Cu  0.5000  0.0000  0.7496
Ni  0.5000  0.5000  0.5000
Ge  0.0000  0.0000  0.5000
Ge  0.5000  0.5000  0.0000

***

# 3
A relaxed structure of CuNi3Ge5, computed with PBE.

a = 4.8275 Å, b = 4.8275 Å, c = 6.8670 Å
α = 90.00°, β = 90.00°, γ = 120.00°
Atoms (fractional coordinates):
Cu  0.0000  0.0000  0.0000
Ni  0.0000  0.5000  0.5000
Ni  0.5000  0.0000  0.5000
Ni  0.5000  0.5000  0.5000
Ge  0.0000  0.0000  0.5000
Ge  0.3333  0.6667  0.1940
Ge  0.3333  0.6667  0.8060
Ge  0.6667  0.3333  0.1940
Ge  0.6667  0.3333  0.8060

***

# 4
A relaxed structure of CuNiGe2, computed with PBE.

a = 4.3622 Å, b = 4.3622 Å, c = 4.3622 Å
α = 60.00°, β = 60.00°, γ = 60.00°
Atoms (fractional coordinates):
Cu  0.0000  0.0000  0.0000
Ni  0.7500  0.7500  0.7500
Ge  0.2500  0.2500  0.2500
Ge  0.5000  0.5000  0.5000

***

# 5
A relaxed structure of Cu5NiGe2, computed with PBE.

a = 4.1520 Å, b = 4.1520 Å, c = 5.8731 Å
α = 90.00°, β = 90.00°, γ = 90.00°
Atoms (fractional coordinates):
Cu  0.0000  0.0000  0.0000
Cu  0.0000  0.5000  0.2504
Cu  0.0000  0.5000  0.7496
Cu  0.5000  0.0000  0.2504
Cu  0.5000  0.0000  0.7496
Ni  0.5000  0.5000  0.5000
Ge  0.0000  0.0000  0.5000
Ge  0.5000  0.5000  0.0000

***

# 6
A relaxed structure of CuNiGeOs, computed with PBE.

a = 4.1879 Å, b = 4.1879 Å, c = 4.1879 Å
α = 60.00°, β = 60.00°, γ = 60.00°
Atoms (fractional coordinates):
Cu  0.0000  0.0000  0.0000
Ni  0.5000  0.5000  0.5000
Ge  0.7500  0.7500  0.7500
Os  0.2500  0.2500  0.2500

***

# 7
A relaxed structure of CuNiGeOs, computed with PBE.

a = 4.1876 Å, b = 4.1876 Å, c = 4.1876 Å
α = 60.00°, β = 60.00°, γ = 60.00°
Atoms (fractional coordinates):
Cu  0.0000  0.0000  0.0000
Ni  0.2500  0.2500  0.2500
Ge  0.7500  0.7500  0.7500
Os  0.5000  0.5000  0.5000

***

# 8
A relaxed structure of CuNiGePd, computed with PBE.

a = 4.2183 Å, b = 4.2183 Å, c = 4.2183 Å
α = 60.00°, β = 60.00°, γ = 60.00°
Atoms (fractional coordinates):
Cu  0.0000  0.0000  0.0000
Ni  0.5000  0.5000  0.5000
Ge  0.2500  0.2500  0.2500
Pd  0.7500  0.7500  0.7500

***

Number 1: electronic total energy -19.892 eV/cell. Number 2: electronic total energy -33.163 eV/cell. Number 3: electronic total energy -43.116 eV/cell. Number 4: electronic total energy -17.514 eV/cell. Number 5: electronic total energy -33.163 eV/cell. Number 6: electronic total energy -23.482 eV/cell. Number 7: electronic total energy -24.542 eV/cell. Number 8: electronic total energy -19.630 eV/cell.